# 1
## K3Pa2O5F2 (PBE-GGA)

Data for a relaxed structure of K3Pa2O5F2.

Unit cell a=11.8871 b=11.8871 c=11.8871 alpha=158.64 beta=158.64 gamma=30.38
Element x y z (fractional)
K1 0.0000 0.0000 0.0000
K2 0.1866 0.1866 0.0000
K3 0.8134 0.8134 0.0000
Pa1 0.4041 0.4041 0.0000
Pa2 0.5959 0.5959 0.0000
O1 0.1016 0.6016 0.5000
O2 0.3984 0.8984 0.5000
O3 0.5000 0.5000 0.0000
O4 0.6016 0.1016 0.5000
O5 0.8984 0.3984 0.5000
F1 0.3014 0.3014 0.0000
F2 0.6986 0.6986 0.0000

## Properties
The value obtained for the mass density is 5.2 Mg/m³. As for the total DFT energy (no corrections): -7.29 eV per atom. As for the total magnetic moment: 1.00 μB per cell. The symmetry is I4/mmm, No. 139. The formation energy without anion corrections is -3.05 eV/atom.



# 2
## K3Pa2O4F3 (PBE-GGA)

Data for a relaxed structure of K3Pa2O4F3.

Unit cell a=12.3738 b=12.3738 c=12.3738 alpha=158.34 beta=29.85 gamma=159.70
Element x y z (fractional)
K1 0.0000 0.0000 0.0000
K2 0.2002 0.9979 0.2023
K3 0.7955 0.9979 0.7977
Pa1 0.3969 0.9999 0.3970
Pa2 0.6030 0.9999 0.6030
O1 0.0920 0.5000 0.5920
O2 0.3123 0.0006 0.3118
O3 0.6888 0.0006 0.6882
O4 0.9080 0.5000 0.4080
F1 0.4179 0.5003 0.9176
F2 0.5000 0.0000 0.5000
F3 0.5827 0.5003 0.0824

## Properties
The value obtained for the mass density is 4.8 Mg/m³. As for the total DFT energy (no corrections): -6.85 eV per atom. As for the total magnetic moment: 1.77 μB per cell. The symmetry is Imm2, No. 44. The formation energy without anion corrections is -2.87 eV/atom.



# 3
## KPaO2F (PBE-GGA)

Data for a relaxed structure of KPaO2F.

Unit cell a=6.4985 b=6.4985 c=6.4985 alpha=122.93 beta=122.93 gamma=85.00
Element x y z (fractional)
K1 0.2500 0.7500 0.5000
K2 0.7500 0.2500 0.5000
Pa1 0.0000 0.0000 0.0000
Pa2 0.5000 0.5000 0.0000
O1 0.2211 0.7211 0.9421
O2 0.2789 0.2211 0.5000
O3 0.7211 0.7789 0.5000
O4 0.7789 0.2789 0.0579
F1 0.2500 0.2500 0.0000
F2 0.7500 0.7500 0.0000

## Properties
The value obtained for the mass density is 5.8 Mg/m³. As for the total DFT energy (no corrections): -7.48 eV per atom. As for the total magnetic moment: 1.89 μB per cell. The symmetry is I4/mcm, No. 140. The formation energy without anion corrections is -3.01 eV/atom.



# 4
## KPbOF2 (PBE-GGA)

Data for a relaxed structure of KPbOF2.

Unit cell a=4.7265 b=4.7265 c=4.7922 alpha=90.00 beta=90.00 gamma=90.00
Element x y z (fractional)
K1 0.0000 0.0000 0.0000
Pb1 0.5000 0.5000 0.5000
O1 0.0000 0.0000 0.5000
F1 0.0000 0.5000 0.0000
F2 0.5000 0.0000 0.0000

## Properties
The value obtained for the mass density is 4.7 Mg/m³. As for the total DFT energy (no corrections): -3.83 eV per atom. As for the total magnetic moment: 1.00 μB per cell. The symmetry is P4/mmm, No. 123. The formation energy without anion corrections is -1.13 eV/atom.



# 5
## KPbOF2 (PBE-GGA)

Data for a relaxed structure of KPbOF2.

Unit cell a=4.7626 b=4.7626 c=4.2833 alpha=90.00 beta=90.00 gamma=90.00
Element x y z (fractional)
K1 0.0000 0.0000 0.0000
Pb1 0.5000 0.5000 0.5000
O1 0.5000 0.5000 0.0000
F1 0.0000 0.5000 0.5000
F2 0.5000 0.0000 0.5000

## Properties
The value obtained for the mass density is 5.1 Mg/m³. As for the total DFT energy (no corrections): -4.66 eV per atom. As for the total magnetic moment: 0.00 μB per cell. The symmetry is P4/mmm, No. 123. The formation energy without anion corrections is -1.96 eV/atom.



# 6
## KPdO2F (PBE-GGA)

Data for a relaxed structure of KPdO2F.

Unit cell a=3.9250 b=3.9250 c=4.8266 alpha=90.00 beta=90.00 gamma=90.00
Element x y z (fractional)
K1 0.0000 0.0000 0.0000
Pd1 0.5000 0.5000 0.5000
O1 0.0000 0.5000 0.5000
O2 0.5000 0.0000 0.5000
F1 0.5000 0.5000 0.0000

## Properties
The value obtained for the mass density is 4.4 Mg/m³. As for the total DFT energy (no corrections): -4.59 eV per atom. As for the total magnetic moment: 1.95 μB per cell. The symmetry is P4/mmm, No. 123. The formation energy without anion corrections is -0.98 eV/atom.



# 7
## KPdO2F (PBE-GGA)

Data for a relaxed structure of KPdO2F.

Unit cell a=4.7471 b=4.7471 c=4.6612 alpha=90.00 beta=90.00 gamma=90.00
Element x y z (fractional)
K1 0.0000 0.0000 0.0000
Pd1 0.5000 0.5000 0.5000
O1 0.0000 0.5000 0.0000
O2 0.5000 0.0000 0.0000
F1 0.0000 0.0000 0.5000

## Properties
The value obtained for the mass density is 3.1 Mg/m³. As for the total DFT energy (no corrections): -3.05 eV per atom. As for the total magnetic moment: 4.01 μB per cell. The symmetry is P4/mmm, No. 123. The formation energy without anion corrections is 0.57 eV/atom.



# 8
## K2PmO2F (PBE-GGA)

Data for a relaxed structure of K2PmO2F.

Unit cell a=4.6180 b=4.6180 c=5.7238 alpha=90.00 beta=90.00 gamma=90.00
Element x y z (fractional)
K1 0.0000 0.0000 0.2466
K2 0.0000 0.0000 0.7534
Pm1 0.5000 0.5000 0.5000
O1 0.0000 0.5000 0.5000
O2 0.5000 0.0000 0.5000
F1 0.5000 0.5000 0.0000

## Properties
The value obtained for the mass density is 3.7 Mg/m³. As for the total DFT energy (no corrections): -5.45 eV per atom. As for the total magnetic moment: 0.00 μB per cell. The symmetry is P4/mmm, No. 123. The formation energy without anion corrections is -2.33 eV/atom.



# 9
## KPmOF2 (PBE-GGA)

Data for a relaxed structure of KPmOF2.

Unit cell a=4.6469 b=4.6469 c=4.5213 alpha=90.00 beta=90.00 gamma=90.00
Element x y z (fractional)
K1 0.0000 0.0000 0.0000
Pm1 0.5000 0.5000 0.4992
O1 0.5000 0.5000 0.9991
F1 0.0000 0.5000 0.4985
F2 0.5000 0.0000 0.4985

## Properties
The value obtained for the mass density is 4.0 Mg/m³. As for the total DFT energy (no corrections): -6.08 eV per atom. As for the total magnetic moment: 0.00 μB per cell. The symmetry is P4mm, No. 99. The formation energy without anion corrections is -3.17 eV/atom.



# 10
## K5Pr4Si4O16F (PBE-GGA)

Data for a relaxed structure of K5Pr4Si4O16F.

Unit cell a=9.2751 b=9.2751 c=9.2751 alpha=95.20 beta=95.20 gamma=144.97
Element x y z (fractional)
K1 0.0000 0.0000 0.0000
K2 0.1031 0.5936 0.6958
K3 0.4064 0.1022 0.5095
K4 0.5927 0.8969 0.4905
K5 0.8978 0.4073 0.3042
Pr1 0.2971 0.3643 0.6984
Pr2 0.4013 0.7029 0.0672
Pr3 0.6357 0.3341 0.9328
Pr4 0.6659 0.5987 0.3016
Si1 0.1160 0.2565 0.3503
Si2 0.2343 0.8840 0.1405
Si3 0.7435 0.0938 0.8595
Si4 0.9062 0.7657 0.6497
O1 0.0417 0.2905 0.8570
O2 0.1116 0.3718 0.4933
O3 0.1372 0.7087 0.9741
O4 0.2120 0.0417 0.7590
O5 0.2827 0.4530 0.2410
O6 0.2913 0.2653 0.4285
O7 0.3817 0.8884 0.2602
O8 0.4336 0.1847 0.1430
O9 0.5470 0.7880 0.8297
O10 0.6282 0.1215 0.7398
O11 0.7095 0.5664 0.7511
O12 0.7347 0.1632 0.0259
O13 0.8153 0.9583 0.2489
O14 0.8368 0.8628 0.5715
O15 0.8785 0.6183 0.5067
O16 0.9583 0.7173 0.1703
F1 0.5000 0.5000 0.0000

## Properties
The value obtained for the mass density is 4.4 Mg/m³. As for the total DFT energy (no corrections): -7.14 eV per atom. As for the total magnetic moment: 0.00 μB per cell. The symmetry is I-4, No. 82. The formation energy without anion corrections is -2.89 eV/atom.



# 11
## K5PtO4F2 (PBE-GGA)

Data for a relaxed structure of K5PtO4F2.

Unit cell a=7.4419 b=6.0151 c=6.0151 alpha=113.36 beta=90.00 gamma=90.00
Element x y z (fractional)
K1 0.0000 0.0000 0.0000
K2 0.2622 0.3002 0.6786
K3 0.2622 0.6786 0.3002
K4 0.7378 0.3002 0.6786
K5 0.7378 0.6786 0.3002
Pt1 0.5000 0.0013 0.0013
O1 0.3167 0.2058 0.2058
O2 0.5000 0.6607 0.9303
O3 0.5000 0.9303 0.6607
O4 0.6833 0.2058 0.2058
F1 0.0000 0.5507 0.9633
F2 0.0000 0.9633 0.5507

## Properties
The value obtained for the mass density is 3.3 Mg/m³. As for the total DFT energy (no corrections): -4.43 eV per atom. As for the total magnetic moment: 1.04 μB per cell. The symmetry is Amm2, No. 38. The formation energy without anion corrections is -1.51 eV/atom.



# 12
## KPtOF2 (PBE-GGA)

Data for a relaxed structure of KPtOF2.

Unit cell a=4.5845 b=4.5845 c=4.7433 alpha=90.00 beta=90.00 gamma=90.00
Element x y z (fractional)
K1 0.0000 0.0000 0.0000
Pt1 0.5000 0.5000 0.5000
O1 0.0000 0.0000 0.5000
F1 0.0000 0.5000 0.0000
F2 0.5000 0.0000 0.0000

## Properties
The value obtained for the mass density is 4.8 Mg/m³. As for the total DFT energy (no corrections): -2.80 eV per atom. As for the total magnetic moment: 2.09 μB per cell. The symmetry is P4/mmm, No. 123. The formation energy without anion corrections is 0.37 eV/atom.



# 13
## KPtOF2 (PBE-GGA)

Data for a relaxed structure of KPtOF2.

Unit cell a=4.6284 b=4.6284 c=3.7709 alpha=90.00 beta=90.00 gamma=90.00
Element x y z (fractional)
K1 0.0000 0.0000 0.0000
Pt1 0.5000 0.5000 0.5000
O1 0.5000 0.5000 0.0000
F1 0.0000 0.5000 0.5000
F2 0.5000 0.0000 0.5000

## Properties
The value obtained for the mass density is 5.9 Mg/m³. As for the total DFT energy (no corrections): -4.54 eV per atom. As for the total magnetic moment: 0.00 μB per cell. The symmetry is P4/mmm, No. 123. The formation energy without anion corrections is -1.37 eV/atom.



# 14
## K3Pu2O4F3 (PBE-GGA)

Data for a relaxed structure of K3Pu2O4F3.

Unit cell a=11.9547 b=11.9547 c=11.9547 alpha=159.38 beta=157.55 gamma=30.67
Element x y z (fractional)
K1 0.0000 0.0000 0.0000
K2 0.1967 0.1967 0.0000
K3 0.8033 0.8033 0.0000
Pu1 0.3968 0.3968 0.0000
Pu2 0.6032 0.6032 0.0000
O1 0.3101 0.3101 0.0000
O2 0.4052 0.9052 0.5000
O3 0.5948 0.0948 0.5000
O4 0.6899 0.6899 0.0000
F1 0.0900 0.5900 0.5000
F2 0.5000 0.5000 0.0000
F3 0.9100 0.4100 0.5000

## Properties
The value obtained for the mass density is 5.3 Mg/m³. As for the total DFT energy (no corrections): -7.48 eV per atom. As for the total magnetic moment: 8.00 μB per cell. The symmetry is Immm, No. 71. The formation energy without anion corrections is -2.70 eV/atom.



# 15
## K2PuO2F4 (PBE-GGA)

Data for a relaxed structure of K2PuO2F4.

Unit cell a=6.1227 b=6.1227 c=4.6859 alpha=92.24 beta=92.24 gamma=62.60
Element x y z (fractional)
K1 0.1595 0.1595 0.3097
K2 0.8405 0.8405 0.6903
Pu1 0.5000 0.5000 0.0000
O1 0.3687 0.3687 0.7366
O2 0.6313 0.6313 0.2634
F1 0.1434 0.6606 0.2112
F2 0.3394 0.8566 0.7888
F3 0.6606 0.1434 0.2112
F4 0.8566 0.3394 0.7888

## Properties
The value obtained for the mass density is 4.6 Mg/m³. As for the total DFT energy (no corrections): -6.62 eV per atom. As for the total magnetic moment: 2.00 μB per cell. The symmetry is C2/m, No. 12. The formation energy without anion corrections is -2.85 eV/atom.



# 16
## K2PuO2F2 (PBE-GGA)

Data for a relaxed structure of K2PuO2F2.

Unit cell a=4.3171 b=4.3171 c=14.0685 alpha=90.00 beta=90.00 gamma=90.00
Element x y z (fractional)
K1 0.0000 0.0000 0.1471
K2 0.0000 0.0000 0.8529
K3 0.5000 0.5000 0.3529
K4 0.5000 0.5000 0.6471
Pu1 0.0000 0.0000 0.5000
Pu2 0.5000 0.5000 0.0000
O1 0.0000 0.5000 0.0000
O2 0.0000 0.5000 0.5000
O3 0.5000 0.0000 0.0000
O4 0.5000 0.0000 0.5000
F1 0.0000 0.0000 0.3337
F2 0.0000 0.0000 0.6663
F3 0.5000 0.5000 0.1663
F4 0.5000 0.5000 0.8337

## Properties
The value obtained for the mass density is 5.0 Mg/m³. As for the total DFT energy (no corrections): -7.12 eV per atom. As for the total magnetic moment: 8.00 μB per cell. The symmetry is I4/mmm, No. 139. The formation energy without anion corrections is -2.81 eV/atom.



# 17
## K3Pu2O5F2 (PBE-GGA)

Data for a relaxed structure of K3Pu2O5F2.

Unit cell a=11.8074 b=11.8074 c=11.8074 alpha=159.09 beta=159.09 gamma=29.73
Element x y z (fractional)
K1 0.0000 0.0000 0.0000
K2 0.1873 0.1873 0.0000
K3 0.8127 0.8127 0.0000
Pu1 0.4060 0.4060 0.0000
Pu2 0.5940 0.5940 0.0000
O1 0.0984 0.5984 0.5000
O2 0.4016 0.9016 0.5000
O3 0.5000 0.5000 0.0000
O4 0.5984 0.0984 0.5000
O5 0.9016 0.4016 0.5000
F1 0.3028 0.3028 0.0000
F2 0.6972 0.6972 0.0000

## Properties
The value obtained for the mass density is 5.7 Mg/m³. As for the total DFT energy (no corrections): -7.77 eV per atom. As for the total magnetic moment: 7.00 μB per cell. The symmetry is I4/mmm, No. 139. The formation energy without anion corrections is -2.73 eV/atom.



# 18
## K2PuOF5 (PBE-GGA)

Data for a relaxed structure of K2PuOF5.

Unit cell a=6.2137 b=6.2137 c=6.2137 alpha=117.69 beta=117.69 gamma=94.06
Element x y z (fractional)
K1 0.0000 0.5000 0.5000
K2 0.5000 0.0000 0.5000
Pu1 0.2447 0.2447 0.0000
O1 0.0252 0.0252 0.0000
F1 0.0116 0.0116 0.5240
F2 0.0116 0.4876 0.0000
F3 0.4876 0.0116 0.0000
F4 0.4876 0.4876 0.4760
F5 0.4893 0.4893 0.0000

## Properties
The value obtained for the mass density is 4.1 Mg/m³. As for the total DFT energy (no corrections): -6.36 eV per atom. As for the total magnetic moment: 3.00 μB per cell. The symmetry is I4mm, No. 107. The formation energy without anion corrections is -2.94 eV/atom.



# 19
## K2RbOF (PBE-GGA)

Data for a relaxed structure of K2RbOF.

Unit cell a=7.5530 b=3.8343 c=8.6963 alpha=90.00 beta=105.10 gamma=90.00
Element x y z (fractional)
K1 0.0828 0.2500 0.3477
K2 0.1646 0.2500 0.9646
K3 0.8354 0.7500 0.0354
K4 0.9172 0.7500 0.6523
Rb1 0.4835 0.7500 0.7102
Rb2 0.5165 0.2500 0.2898
O1 0.2275 0.7500 0.1829
O2 0.7725 0.2500 0.8171
F1 0.1950 0.2500 0.6642
F2 0.8050 0.7500 0.3358

## Properties
The value obtained for the mass density is 2.7 Mg/m³. As for the total DFT energy (no corrections): -3.63 eV per atom. As for the total magnetic moment: 0.12 μB per cell. The symmetry is P2_1/m, No. 11. The formation energy without anion corrections is -1.63 eV/atom.



# 20
## K6RbOF (PBE-GGA)

Data for a relaxed structure of K6RbOF.

Unit cell a=7.2593 b=7.2593 c=10.5832 alpha=90.00 beta=90.00 gamma=120.00
Element x y z (fractional)
K1 0.0537 0.3479 0.1413
K2 0.0537 0.7058 0.8587
K3 0.2942 0.3479 0.8587
K4 0.2942 0.9463 0.1413
K5 0.6521 0.7058 0.1413
K6 0.6521 0.9463 0.8587
Rb1 0.6667 0.3333 0.5000
O1 0.3333 0.6667 0.0000
F1 0.0000 0.0000 0.0000

## Properties
The value obtained for the mass density is 1.2 Mg/m³. As for the total DFT energy (no corrections): -2.49 eV per atom. As for the total magnetic moment: 0.00 μB per cell. The symmetry is P312, No. 149. The formation energy without anion corrections is -0.89 eV/atom.



# 21
## K2Rb6O3F (PBE-GGA)

Data for a relaxed structure of K2Rb6O3F.

Unit cell a=8.1461 b=8.1461 c=6.6268 alpha=90.93 beta=90.93 gamma=61.52
Element x y z (fractional)
K1 0.1664 0.1664 0.2758
K2 0.8336 0.8336 0.7242
Rb1 0.1565 0.6706 0.2506
Rb2 0.3294 0.8435 0.7494
Rb3 0.3300 0.3300 0.6947
Rb4 0.6700 0.6700 0.3053
Rb5 0.6706 0.1565 0.2506
Rb6 0.8435 0.3294 0.7494
O1 0.0000 0.0000 0.0000
O2 0.0000 0.5000 0.5000
O3 0.5000 0.0000 0.5000
F1 0.5000 0.5000 0.5000

## Properties
The value obtained for the mass density is 2.8 Mg/m³. As for the total DFT energy (no corrections): -3.16 eV per atom. As for the total magnetic moment: 0.00 μB per cell. The symmetry is C2/m, No. 12. The formation energy without anion corrections is -1.10 eV/atom.



# 22
## KRb2OF6 (PBE-GGA)

Data for a relaxed structure of KRb2OF6.

Unit cell a=6.5210 b=6.5210 c=6.5210 alpha=124.90 beta=124.90 gamma=81.70
Element x y z (fractional)
K1 0.0000 0.0000 0.0000
Rb1 0.2500 0.7500 0.5000
Rb2 0.7500 0.2500 0.5000
O1 0.5000 0.5000 0.0000
F1 0.2501 0.2501 0.0000
F2 0.2949 0.2949 0.5897
F3 0.2949 0.7051 0.0000
F4 0.7051 0.2949 0.0000
F5 0.7051 0.7051 0.4103
F6 0.7499 0.7499 0.0000

## Properties
The value obtained for the mass density is 3.1 Mg/m³. As for the total DFT energy (no corrections): -3.48 eV per atom. As for the total magnetic moment: 1.00 μB per cell. The symmetry is I4/mmm, No. 139. The formation energy without anion corrections is -1.56 eV/atom.